! PBE-GGA Cs2YMgI6, relaxed; values from VASP
! Fermi-level density of states = 4.7 states/eV/cell
! Total DFT energy (no corrections) = -3.15 eV per atom
&SYSTEM
  ibrav = 0, nat = 20, ntyp = 4
/
ATOMIC_SPECIES
Mg 24.30 Mg.upf
I 126.90 I.upf
Cs 132.91 Cs.upf
Y 88.91 Y.upf
CELL_PARAMETERS angstrom
8.754 0.000 0.000
0.000 8.754 0.000
0.000 0.000 12.387
ATOMIC_POSITIONS angstrom
Mg 4.377 2.185 6.193
I 4.377 2.192 9.331
Mg 0.000 6.568 0.000
I 2.168 8.710 6.193
I 0.000 6.562 9.249
I 2.223 4.365 0.000
I 6.545 0.044 0.000
I 2.154 4.389 6.193
I 0.000 6.562 3.138
Cs 4.377 6.568 9.291
Cs 0.000 2.186 3.098
I 4.377 2.192 3.056
Y 4.377 2.196 0.000
I 6.586 8.710 6.193
Cs 0.000 2.186 9.289
Cs 4.377 6.568 3.096
I 6.530 4.365 0.000
Y 0.000 6.558 6.193
I 6.600 4.389 6.193
I 2.209 0.044 0.000

! PBE-GGA CdInSn2, relaxed; values from VASP
! Fermi-level density of states = 5.1 states/eV/cell
! Total DFT energy (no corrections) = -2.82 eV per atom
! Energy relative to the elements = 0.39 eV per formula unit
&SYSTEM
  ibrav = 0, nat = 8, ntyp = 3
/
ATOMIC_SPECIES
Sn 118.71 Sn.upf
In 114.82 In.upf
Cd 112.41 Cd.upf
CELL_PARAMETERS angstrom
-0.946 -6.640 4.994
-0.058 -5.021 -6.687
2.614 -6.127 -0.651
ATOMIC_POSITIONS angstrom
Sn 1.082 -14.784 -1.949
Sn 1.584 -8.984 -1.144
Sn 0.058 -6.289 2.107
In 0.583 -9.299 1.748
In 0.000 0.000 0.000
Cd -0.502 -5.831 -0.847
Sn 0.496 -5.520 -3.703
Cd 1.027 -8.489 -4.092

! PBE-GGA Ti5NiPd4, relaxed; values from VASP
! Fermi-level density of states = 14.6 states/eV/cell
! Total DFT energy (no corrections) = -7.08 eV per atom
! Energy relative to the elements = -4.79 eV per formula unit
&SYSTEM
  ibrav = 0, nat = 10, ntyp = 3
/
ATOMIC_SPECIES
Pd 106.42 Pd.upf
Ti 47.87 Ti.upf
Ni 58.69 Ni.upf
CELL_PARAMETERS angstrom
-1.252 -1.889 1.742
0.274 -2.025 -1.999
16.753 -4.648 7.004
ATOMIC_POSITIONS angstrom
Pd 10.102 -2.803 4.223
Ti 0.988 -2.367 0.489
Ti 14.787 -6.195 6.257
Pd 13.543 -3.758 5.662
Ti 11.333 -5.237 4.814
Ni 0.000 0.000 0.000
Ti 4.442 -3.325 1.933
Pd 3.210 -0.891 1.342
Pd 6.651 -1.845 2.780
Ti 7.887 -4.281 3.373

! PBE-GGA RePbBr, relaxed; values from VASP
! Fermi-level density of states = 1.8 states/eV/cell
! Total DFT energy (no corrections) = -5.21 eV per atom
&SYSTEM
  ibrav = 0, nat = 3, ntyp = 3
/
ATOMIC_SPECIES
Re 186.21 Re.upf
Pb 207.20 Pb.upf
Br 79.90 Br.upf
CELL_PARAMETERS angstrom
3.272 0.000 0.000
-1.636 2.834 0.000
0.000 0.000 7.755
ATOMIC_POSITIONS angstrom
Re 0.000 1.889 5.358
Pb 1.636 0.945 3.048
Br 0.000 0.000 7.103

! PBE-GGA BaLiZn, relaxed; values from VASP
! Fermi-level density of states = 2.0 states/eV/cell
! Total DFT energy (no corrections) = -1.75 eV per atom
! Energy relative to the elements = -0.13 eV per formula unit
&SYSTEM
  ibrav = 0, nat = 3, ntyp = 3
/
ATOMIC_SPECIES
Li 6.94 Li.upf
Ba 137.33 Ba.upf
Zn 65.41 Zn.upf
CELL_PARAMETERS angstrom
6.333 0.004 -0.009
3.875 5.009 0.009
-5.098 -2.518 2.788
ATOMIC_POSITIONS angstrom
Li 7.215 3.544 0.000
Ba 10.109 4.965 0.000
Zn 3.091 1.518 0.000

! PBE-GGA MgZr2Co2, relaxed; values from VASP
! Fermi-level density of states = 3.9 states/eV/cell
! Total DFT energy (no corrections) = -6.61 eV per atom
! Energy relative to the elements = -0.15 eV per formula unit
&SYSTEM
  ibrav = 0, nat = 5, ntyp = 3
/
ATOMIC_SPECIES
Mg 24.30 Mg.upf
Zr 91.22 Zr.upf
Co 58.93 Co.upf
CELL_PARAMETERS angstrom
4.372 0.000 0.000
0.000 4.372 0.000
2.186 2.186 4.956
ATOMIC_POSITIONS angstrom
Mg 0.000 0.000 0.000
Zr 4.372 2.186 2.478
Co 4.372 4.372 3.857
Co 2.186 2.186 1.099
Zr 2.186 4.372 2.478

! PBE-GGA BaTlW, relaxed; values from VASP
! Fermi-level density of states = 3.7 states/eV/cell
! Total DFT energy (no corrections) = -4.72 eV per atom
! Energy relative to the elements = 3.08 eV per formula unit
&SYSTEM
  ibrav = 0, nat = 3, ntyp = 3
/
ATOMIC_SPECIES
Tl 204.38 Tl.upf
W 183.84 W.upf
Ba 137.33 Ba.upf
CELL_PARAMETERS angstrom
-0.808 5.843 -3.205
-5.304 2.996 -2.820
3.082 -2.905 5.208
ATOMIC_POSITIONS angstrom
Tl -1.768 2.557 -1.743
W -4.308 6.229 -4.247
Ba -0.036 0.052 -0.036

! PBE-GGA NaAgAu4, relaxed; values from VASP
! Fermi-level density of states = 0.2 states/eV/cell
! Total DFT energy (no corrections) = -3.07 eV per atom
! Energy relative to the elements = -1.16 eV per formula unit
&SYSTEM
  ibrav = 0, nat = 6, ntyp = 3
/
ATOMIC_SPECIES
Au 196.97 Au.upf
Na 22.99 Na.upf
Ag 107.87 Ag.upf
CELL_PARAMETERS angstrom
-0.261 -2.806 4.776
-1.920 -5.202 0.058
3.469 -4.226 0.926
ATOMIC_POSITIONS angstrom
Au 0.805 -7.648 3.601
Na 0.322 -3.059 1.440
Au 1.766 -5.044 3.572
Au -0.932 -5.533 3.137
Au 0.935 -6.243 1.211
Ag 0.000 0.000 0.000

! PBE-GGA Tl5Hg5Te, relaxed; values from VASP
! Fermi-level density of states = 5.4 states/eV/cell
! Total DFT energy (no corrections) = -1.51 eV per atom
&SYSTEM
  ibrav = 0, nat = 11, ntyp = 3
/
ATOMIC_SPECIES
Tl 204.38 Tl.upf
Hg 200.59 Hg.upf
Te 127.60 Te.upf
CELL_PARAMETERS angstrom
5.928 0.000 0.000
-2.964 5.134 0.000
0.000 0.000 11.253
ATOMIC_POSITIONS angstrom
Tl 0.000 3.423 1.923
Hg 0.000 0.000 8.220
Te 2.964 1.711 0.000
Hg 0.000 0.000 3.033
Tl 2.964 1.711 7.829
Tl 0.000 3.423 9.330
Hg 0.000 1.750 5.626
Tl 2.964 1.711 3.424
Hg 1.448 4.259 5.626
Hg -1.448 4.259 5.626
Tl 0.000 0.000 0.000

! PBE-GGA Nd3Ho7, relaxed; values from VASP
! Fermi-level density of states = 31.9 states/eV/cell
! Total DFT energy (no corrections) = -4.46 eV per atom
! Energy relative to the elements = 1.79 eV per formula unit
&SYSTEM
  ibrav = 0, nat = 20, ntyp = 2
/
ATOMIC_SPECIES
Ho 164.93 Ho.upf
Nd 144.24 Nd.upf
CELL_PARAMETERS angstrom
6.495 0.000 0.000
0.000 10.769 0.000
0.000 -5.385 9.327
ATOMIC_POSITIONS angstrom
Ho 2.505 3.428 8.197
Ho 5.753 8.812 1.130
Ho 4.612 3.163 4.392
Nd 5.630 2.108 7.435
Ho 1.364 2.222 4.935
Ho 5.753 1.957 1.130
Nd 5.630 -2.108 7.435
Ho 1.364 -2.222 4.935
Ho 2.505 0.000 2.260
Ho 1.364 0.000 8.784
Ho 3.380 0.000 6.218
Ho 0.132 5.385 3.109
Nd 2.383 5.385 5.543
Ho 4.612 7.607 4.392
Nd 2.383 7.493 1.892
Nd 2.383 3.277 1.892
Ho 4.612 5.385 0.543
Nd 5.630 0.000 3.784
Ho 2.505 -3.428 8.197
Ho 5.753 5.385 7.067

! PBE-GGA Ca3Ni8H, relaxed; values from VASP
! Fermi-level density of states = 9.4 states/eV/cell
! Total DFT energy (no corrections) = -4.72 eV per atom
&SYSTEM
  ibrav = 0, nat = 12, ntyp = 3
/
ATOMIC_SPECIES
Ni 58.69 Ni.upf
Ca 40.08 Ca.upf
H 1.01 H.upf
CELL_PARAMETERS angstrom
-4.142 -2.842 0.049
-0.168 -4.241 -2.687
1.475 -6.498 5.466
ATOMIC_POSITIONS angstrom
Ni 0.264 -2.536 1.681
Ca -1.305 -6.951 1.660
H -0.177 -4.151 1.866
Ca -2.450 -5.324 -0.836
Ca 1.410 -6.404 5.323
Ni -1.093 -7.212 4.423
Ni -2.605 -9.506 1.079
Ni -1.845 -3.983 1.705
Ni -1.178 -9.347 3.070
Ni 0.178 -4.695 0.313
Ni 0.908 -7.917 3.046
Ni -1.207 -2.687 -0.379

! PBE-GGA Ho2LuRu, relaxed; values from VASP
! Fermi-level density of states = 6.4 states/eV/cell
! Total DFT energy (no corrections) = -5.64 eV per atom
! Energy relative to the elements = 0.40 eV per formula unit
&SYSTEM
  ibrav = 0, nat = 4, ntyp = 3
/
ATOMIC_SPECIES
Ho 164.93 Ho.upf
Lu 174.97 Lu.upf
Ru 101.07 Ru.upf
CELL_PARAMETERS angstrom
3.455 0.000 0.000
1.727 2.992 0.000
1.727 0.997 10.514
ATOMIC_POSITIONS angstrom
Ho 5.182 2.992 3.338
Lu 0.000 0.000 0.000
Ho 1.727 0.997 7.176
Ru 3.455 1.995 5.257

! PBE-GGA ZrAl2Cu, relaxed; values from VASP
! Fermi-level density of states = 3.3 states/eV/cell
! Total DFT energy (no corrections) = -5.50 eV per atom
! Energy relative to the elements = -1.88 eV per formula unit
&SYSTEM
  ibrav = 0, nat = 12, ntyp = 3
/
ATOMIC_SPECIES
Al 26.98 Al.upf
Cu 63.55 Cu.upf
Zr 91.22 Zr.upf
CELL_PARAMETERS angstrom
-7.125 2.237 4.171
-7.795 -2.687 2.275
-4.957 -1.907 6.705
ATOMIC_POSITIONS angstrom
Al -12.174 -2.335 6.597
Cu -9.939 -1.179 6.576
Cu -6.646 -0.789 4.396
Al -11.835 0.154 7.556
Zr -17.073 -2.025 11.296
Al -10.739 -1.940 8.837
Cu -13.233 -1.569 8.755
Zr -12.082 0.330 10.876
Al -7.704 -0.023 6.554
Zr -2.805 -0.333 1.855
Al -8.043 -2.512 5.596
Al -9.139 -0.417 4.315

! PBE-GGA K5NaCd, relaxed; values from VASP
! Fermi-level density of states = 10.3 states/eV/cell
! Total DFT energy (no corrections) = -1.09 eV per atom
! Energy relative to the elements = 0.07 eV per formula unit
&SYSTEM
  ibrav = 0, nat = 14, ntyp = 3
/
ATOMIC_SPECIES
Cd 112.41 Cd.upf
K 39.10 K.upf
Na 22.99 Na.upf
CELL_PARAMETERS angstrom
7.532 -0.375 -2.201
-1.043 8.787 -5.062
-0.764 0.776 11.770
ATOMIC_POSITIONS angstrom
Cd 5.015 2.234 3.009
K 5.721 5.205 5.031
K 0.155 1.479 7.698
Na 3.244 4.206 -3.632
K 5.570 7.710 -3.192
K 1.807 7.872 -2.076
K 3.918 1.317 6.582
K 0.004 3.984 -0.525
K 1.135 3.382 3.556
Na 0.000 0.000 0.000
K 4.005 1.822 -0.488
K 1.721 7.367 4.994
K 4.591 5.807 0.950
Cd 0.711 6.955 1.497

! PBE-GGA NpNi3S6, relaxed; values from VASP
! Fermi-level density of states = 21.9 states/eV/cell
! Total DFT energy (no corrections) = -6.02 eV per atom
&SYSTEM
  ibrav = 0, nat = 20, ntyp = 3
/
ATOMIC_SPECIES
Ni 58.69 Ni.upf
S 32.06 S.upf
Np 237.00 Np.upf
CELL_PARAMETERS angstrom
3.527 0.000 0.000
0.000 11.655 -0.361
0.000 -4.314 8.955
ATOMIC_POSITIONS angstrom
Ni 0.882 5.897 1.285
S 2.645 2.395 5.106
S 2.645 -0.914 3.785
S 0.882 1.928 1.975
Ni 0.882 4.972 7.958
S 2.645 7.140 2.170
Ni 2.645 1.444 7.309
Ni 0.882 2.828 3.911
Np 2.645 -1.799 6.330
S 0.882 -2.627 8.281
Ni 2.645 2.369 0.636
S 2.645 5.413 6.619
Np 0.882 9.141 2.264
S 0.882 4.946 3.488
S 0.882 8.256 4.809
S 0.882 2.700 8.156
Ni 2.645 4.513 4.683
S 0.882 0.202 6.424
S 2.645 9.968 0.313
S 2.645 4.641 0.438

! PBE-GGA RuWSe, relaxed; values from VASP
! Fermi-level density of states = 3.0 states/eV/cell
! Total DFT energy (no corrections) = -8.13 eV per atom
&SYSTEM
  ibrav = 0, nat = 3, ntyp = 3
/
ATOMIC_SPECIES
W 183.84 W.upf
Ru 101.07 Ru.upf
Se 78.96 Se.upf
CELL_PARAMETERS angstrom
-0.869 0.000 4.150
-3.554 -1.824 1.422
0.209 -3.613 2.210
ATOMIC_POSITIONS angstrom
W -1.053 -1.359 1.946
Ru 0.000 0.000 0.000
Se -2.107 -2.718 3.891

! PBE-GGA CaZnCr, relaxed; values from VASP
! Fermi-level density of states = 3.0 states/eV/cell
! Total DFT energy (no corrections) = -3.81 eV per atom
! Energy relative to the elements = 1.47 eV per formula unit
&SYSTEM
  ibrav = 0, nat = 3, ntyp = 3
/
ATOMIC_SPECIES
Zn 65.41 Zn.upf
Ca 40.08 Ca.upf
Cr 52.00 Cr.upf
CELL_PARAMETERS angstrom
4.750 0.000 0.000
2.375 4.114 0.000
2.375 1.371 3.879
ATOMIC_POSITIONS angstrom
Zn 7.125 4.114 2.909
Ca 0.000 0.000 0.000
Cr 4.750 2.743 1.939

! PBE-GGA CaPm2Rh, relaxed; values from VASP
! Fermi-level density of states = 3.9 states/eV/cell
! Total DFT energy (no corrections) = -5.03 eV per atom
! Energy relative to the elements = -1.27 eV per formula unit
&SYSTEM
  ibrav = 0, nat = 4, ntyp = 3
/
ATOMIC_SPECIES
Pm 145.00 Pm.upf
Ca 40.08 Ca.upf
Rh 102.91 Rh.upf
CELL_PARAMETERS angstrom
3.603 0.000 0.000
0.000 3.603 0.000
0.000 0.000 9.370
ATOMIC_POSITIONS angstrom
Pm 0.000 0.000 1.641
Pm 0.000 0.000 7.729
Ca 1.801 1.801 4.685
Rh 1.801 1.801 0.000

! PBE-GGA Na3Mg7Tl4, relaxed; values from VASP
! Fermi-level density of states = 4.1 states/eV/cell
! Total DFT energy (no corrections) = -1.80 eV per atom
! Energy relative to the elements = -0.60 eV per formula unit
&SYSTEM
  ibrav = 0, nat = 14, ntyp = 3
/
ATOMIC_SPECIES
Tl 204.38 Tl.upf
Mg 24.30 Mg.upf
Na 22.99 Na.upf
CELL_PARAMETERS angstrom
4.966 0.000 1.253
2.184 7.619 1.813
0.297 -1.334 9.292
ATOMIC_POSITIONS angstrom
Tl 3.183 3.278 8.324
Tl 0.945 0.034 6.722
Mg 4.486 5.957 3.155
Tl 4.264 3.008 4.035
Mg 3.765 0.787 6.016
Mg 3.682 5.499 6.343
Tl 6.502 6.252 5.636
Mg 2.961 0.329 9.203
Na 1.240 3.143 5.553
Na 5.581 5.331 9.285
Mg 2.129 4.203 2.031
Mg 5.318 2.082 10.327
Na 1.866 0.954 3.073
Mg 0.000 0.000 0.000

! PBE-GGA LaHg3Ir, relaxed; values from VASP
! Fermi-level density of states = 4.9 states/eV/cell
! Total DFT energy (no corrections) = -2.88 eV per atom
! Energy relative to the elements = 0.29 eV per formula unit
&SYSTEM
  ibrav = 0, nat = 5, ntyp = 3
/
ATOMIC_SPECIES
La 138.91 La.upf
Hg 200.59 Hg.upf
Ir 192.22 Ir.upf
CELL_PARAMETERS angstrom
5.190 0.000 0.000
0.000 5.190 0.000
0.000 0.000 5.190
ATOMIC_POSITIONS angstrom
La 2.595 2.595 2.595
Hg 2.595 0.000 0.000
Hg 0.000 0.000 2.595
Ir 0.000 0.000 0.000
Hg 0.000 2.595 0.000